No. 1
# ScMoAsBr2

Crystalline ScMoAsBr2 at its relaxed geometry (GGA-PBE, Alexandria via LeMat-Bulk).

The structure in POSCAR format:
```
ScMoAsBr2
1.0
5.094 0.000 0.000
0.000 5.094 0.000
0.000 0.000 5.507
Sc Mo As Br
1 1 1 2
direct
0.000 0.000 0.000
0.500 0.500 0.500
0.000 0.000 0.500
0.000 0.500 0.000
0.500 0.000 0.000
```

The calculation puts the density of states at the Fermi level at 3.55 states/eV/cell. The space-group type is P4/mmm, No. 123. The energy above the most stable polymorph in this dataset is 0.0000 eV/atom. The calculation puts the formation energy without anion corrections at 0.2099 eV/atom.


No. 2
# La2TcHg

Crystalline La2TcHg at its relaxed geometry (GGA-PBE, Alexandria via LeMat-Bulk).

The structure in POSCAR format:
```
La2TcHg
1.0
5.105 0.000 0.000
2.552 4.421 0.000
2.552 1.474 4.168
Hg La Tc
1 2 1
direct
0.500 0.500 0.500
0.000 0.000 0.000
0.250 0.250 0.250
0.750 0.750 0.750
```

For the formation energy, the calculation gives 0.1409 eV/atom. The calculation puts the density of states at the Fermi level at 5.74 states/eV/cell. The space-group type is F-43m, No. 216.


No. 3
# TlTc2Se

Crystalline TlTc2Se at its relaxed geometry (GGA-PBE, Alexandria via LeMat-Bulk).

The structure in POSCAR format:
```
TlTc2Se
1.0
-3.685 -1.376 1.404
-1.324 -2.605 2.984
-1.110 3.889 4.682
Se Tc Tl
1 2 1
direct
0.250 0.250 0.250
0.995 0.995 0.063
0.505 0.505 0.437
0.750 0.750 0.750
```

The calculation puts the density of states at the Fermi level at 3.21 states/eV/cell. The space-group type is C2/m, No. 12. The energy above the most stable polymorph in this dataset is 0.2431 eV/atom. The calculation puts the formation energy without anion corrections at 0.4502 eV/atom.


no.,V (Å³/cell),E (eV for the cell shown)
1,143,-24.108
2,94,-19.959
3,72,-24.782